CsNiIrO6 | GGA+U | optimized geometry Values from VASP.

Structure (Quantum ESPRESSO input):
```
&SYSTEM
  ibrav = 0, nat = 9, ntyp = 4
/
ATOMIC_SPECIES
O 16.00 O.upf
Ni 58.69 Ni.upf
Ir 192.22 Ir.upf
Cs 132.91 Cs.upf
CELL_PARAMETERS angstrom
5.159 -0.078 -0.030
2.513 4.506 0.029
-0.036 0.062 6.605
ATOMIC_POSITIONS crystal
O 0.401 0.598 0.337
O 0.021 0.391 0.326
O 0.003 0.602 0.656
Ni 0.664 0.664 0.500
Ir 0.328 0.328 0.500
O 0.391 0.021 0.674
O 0.598 0.401 0.663
Cs 0.990 0.990 0.000
O 0.602 0.003 0.344
```

Its calculated total energy is -48.42 eV per cell. As for the density of states at the Fermi level: 0.216 states/eV/atom.